(1)
Entry from Alexandria: a geometry-optimized InCoNiAs structure (PBE).

abc: 3.701 3.701 5.342
angles: 90.00 90.00 120.00
Fractional positions:
Ni 0.333 0.667 0.051
In 0.000 0.000 0.326
As 0.667 0.333 0.812
Co 0.333 0.667 0.607

Properties
The crystal system is trigonal. For the energy relative to the lowest polymorph listed for this composition, the calculation gives 0.000 eV/atom.



(2)
Entry from Alexandria: a geometry-optimized BiPtCl3 structure (PBE).

abc: 4.923 4.923 4.923
angles: 90.00 90.00 90.00
Fractional positions:
Bi 0.500 0.500 0.500
Cl 0.500 0.000 0.000
Cl 0.000 0.000 0.500
Cl 0.000 0.500 0.000
Pt 0.000 0.000 0.000

Properties
The crystal system is cubic. For the energy relative to the lowest polymorph listed for this composition, the calculation gives 0.000 eV/atom.



(3)
Entry from Alexandria: a geometry-optimized Tl2GaMoC structure (PBE).

abc: 5.505 4.012 5.505
angles: 90.00 90.00 90.00
Fractional positions:
Tl 0.000 0.000 0.500
Ga 0.500 0.500 0.500
C 0.000 0.500 0.000
Mo 0.000 0.000 0.000
Tl 0.500 0.000 0.000

Properties
The crystal system is tetragonal. The uncorrected energy comes out at -4.617 eV/atom.



Number 1: volume 63.4 Å³ per cell. Number 2: volume 119.3 Å³ per cell. Number 3: volume 121.6 Å³ per cell.